1.
Material: Na3AsOs
Method: DFT, PBE-GGA
State: relaxed

Calculated values
* energy above the lowest structure with this stoichiometry: 230 meV/atom
* DFT formation energy: 1.3856 eV/atom
* final energy: -2.58 eV per atom
* space-group type: No. 221

Cell lengths 5.5971, 5.5971, 5.5971 Å; angles 90.00, 90.00, 90.00 degrees
Sites, in units of the cell vectors:
Na (0.0000, 0.5000, 0.0000)
Na (0.0000, 0.0000, 0.5000)
Na (0.5000, 0.0000, 0.0000)
As (0.5000, 0.5000, 0.5000)
Os (0.0000, 0.0000, 0.0000)

=====

2.
Material: PmSmAs2Pd5
Method: DFT, PBE-GGA
State: relaxed

Calculated values
* DFT formation energy: -0.8438 eV/atom
* final energy: -5.81 eV per atom
* space-group type: No. 123

Cell lengths 4.2386, 4.2386, 9.4825 Å; angles 90.00, 90.00, 90.00 degrees
Sites, in units of the cell vectors:
Pm (0.0000, 0.0000, 0.0000)
Sm (0.0000, 0.0000, 0.5000)
As (0.5000, 0.5000, 0.1391)
As (0.5000, 0.5000, 0.8609)
Pd (0.0000, 0.5000, 0.2797)
Pd (0.5000, 0.0000, 0.2797)
Pd (0.0000, 0.5000, 0.7203)
Pd (0.5000, 0.0000, 0.7203)
Pd (0.5000, 0.5000, 0.5000)

=====

3.
Material: ErPt2
Method: DFT, PBE-GGA
State: relaxed

Calculated values
* DFT formation energy: -0.9256 eV/atom
* final energy: -6.47 eV per atom
* space-group type: No. 139

Cell lengths 3.5592, 3.5592, 5.1678 Å; angles 110.14, 110.14, 90.00 degrees
Sites, in units of the cell vectors:
Pt (0.6652, 0.6652, 0.3304)
Pt (0.3348, 0.3348, 0.6696)
Er (0.0000, 0.0000, 0.0000)

=====

4.
Material: BaSc
Method: DFT, PBE-GGA
State: relaxed

Calculated values
* energy above the lowest structure with this stoichiometry: 1415 meV/atom
* DFT formation energy: 1.6503 eV/atom
* final energy: -2.48 eV per atom
* space-group type: No. 216

Cell lengths 5.4329, 5.4329, 5.4329 Å; angles 60.00, 60.00, 60.00 degrees
Sites, in units of the cell vectors:
Ba (0.0000, 0.0000, 0.0000)
Sc (0.7500, 0.7500, 0.7500)

=====

5.
Material: LiCa3Tm3Se8
Method: DFT, PBE-GGA
State: relaxed

Calculated values
* final energy: -5.09 eV per atom
* space-group type: No. 166
* formation energy (no corrections): -1.81 eV per atom

Cell lengths 8.1399, 8.1396, 8.2430 Å; angles 119.59, 90.00, 120.00 degrees
Sites, in units of the cell vectors:
Li (0.0000, 0.0000, 0.5000)
Ca (0.0000, 0.0000, 0.0000)
Ca (0.0000, 0.5000, 0.0000)
Ca (0.5000, 0.5000, 0.0000)
Tm (0.5000, 0.0000, 0.5000)
Tm (0.5000, 0.5000, 0.5000)
Tm (0.0000, 0.5000, 0.5000)
Se (0.2533, 0.5066, 0.2599)
Se (0.7467, 0.4934, 0.7401)
Se (0.7545, 0.5091, 0.2666)
Se (0.2455, 0.4909, 0.7334)
Se (0.7545, 0.0120, 0.2665)
Se (0.2455, 0.9880, 0.7335)
Se (0.2576, 0.0120, 0.2665)
Se (0.7424, 0.9880, 0.7335)

=====

6.
Material: TlGa2MoPt
Method: DFT, PBE-GGA
State: relaxed

Calculated values
* DFT formation energy: 0.9646 eV/atom
* final energy: -4.09 eV per atom
* space-group type: No. 123

Cell lengths 4.8527, 5.2900, 4.8527 Å; angles 90.00, 90.00, 90.00 degrees
Sites, in units of the cell vectors:
Tl (0.0000, 0.5000, 0.0000)
Ga (0.0000, 0.0000, 0.5000)
Ga (0.5000, 0.0000, 0.0000)
Mo (0.0000, 0.0000, 0.0000)
Pt (0.5000, 0.5000, 0.5000)

=====

7.
Material: AcTbZnCo
Method: DFT, PBE-GGA
State: relaxed

Calculated values
* DFT formation energy: -0.0476 eV/atom
* final energy: -4.33 eV per atom
* space-group type: No. 216

Cell lengths 5.1280, 5.1280, 5.1280 Å; angles 60.00, 60.00, 60.00 degrees
Sites, in units of the cell vectors:
Co (0.5000, 0.5000, 0.5000)
Ac (0.7500, 0.7500, 0.7500)
Tb (0.2500, 0.2500, 0.2500)
Zn (0.0000, 0.0000, 0.0000)

=====

8.
Material: Cs3LaTb2Se6
Method: DFT, PBE-GGA
State: relaxed

Calculated values
* final energy: -4.89 eV per atom
* space-group type: No. 12
* formation energy (no corrections): -1.76 eV per atom

Cell lengths 7.5431, 7.5431, 8.7553 Å; angles 98.26, 98.26, 120.00 degrees
Sites, in units of the cell vectors:
Cs (0.1649, 0.8351, 0.5000)
Cs (0.8351, 0.1649, 0.5000)
Cs (0.5000, 0.5000, 0.5000)
La (0.0000, 0.0000, 0.0000)
Tb (0.3332, 0.6668, 0.0000)
Tb (0.6668, 0.3332, 0.0000)
Se (0.9374, 0.5935, 0.8122)
Se (0.7186, 0.7186, 0.1870)
Se (0.0626, 0.4065, 0.1878)
Se (0.5935, 0.9374, 0.8122)
Se (0.2814, 0.2814, 0.8130)
Se (0.4065, 0.0626, 0.1878)

=====

9.
Material: MgZn2Se2
Method: DFT, PBE-GGA
State: relaxed

Calculated values
* energy above the lowest structure with this stoichiometry: 43 meV/atom
* final energy: -2.71 eV per atom
* space-group type: No. 11
* formation energy (no corrections): -0.49 eV per atom

Cell lengths 4.0344, 6.7123, 9.3568 Å; angles 74.28, 90.00, 90.00 degrees
Sites, in units of the cell vectors:
Mg (0.7500, 0.8908, 0.6565)
Mg (0.2500, 0.1092, 0.3435)
Zn (0.7500, 0.0247, 0.1051)
Zn (0.2500, 0.9753, 0.8949)
Zn (0.7500, 0.4534, 0.3139)
Zn (0.2500, 0.5466, 0.6861)
Se (0.7500, 0.8368, 0.3768)
Se (0.2500, 0.1632, 0.6232)
Se (0.7500, 0.7502, 0.9615)
Se (0.2500, 0.2498, 0.0385)

=====

10.
Material: TlSiSn2S4
Method: DFT, PBE-GGA
State: relaxed

Calculated values
* final energy: -4.42 eV per atom
* space-group type: No. 42
* formation energy (no corrections): -0.38 eV per atom

Cell lengths 6.4910, 6.4910, 6.3908 Å; angles 106.62, 106.62, 115.90 degrees
Sites, in units of the cell vectors:
Tl (0.0888, 0.0888, 0.1777)
Si (0.4736, 0.4736, 0.9472)
Sn (0.7842, 0.2842, 0.5683)
Sn (0.2842, 0.7842, 0.5683)
S (0.6152, 0.6152, 0.7199)
S (0.4065, 0.7431, 0.1496)
S (0.7431, 0.4065, 0.1496)
S (0.1048, 0.1048, 0.7199)

=====

11.
Material: ScTi2AgO
Method: DFT, PBE-GGA
State: relaxed

Calculated values
* energy above the lowest structure with this stoichiometry: 436 meV/atom
* final energy: -6.69 eV per atom
* space-group type: No. 123
* formation energy (no corrections): -0.70 eV per atom

Cell lengths 4.0328, 5.2447, 4.0328 Å; angles 90.00, 90.00, 90.00 degrees
Sites, in units of the cell vectors:
Sc (0.5000, 0.5000, 0.5000)
O (0.0000, 0.0000, 0.0000)
Ag (0.0000, 0.5000, 0.0000)
Ti (0.0000, 0.0000, 0.5000)
Ti (0.5000, 0.0000, 0.0000)

=====

12.
Material: Ho5ZnHg6
Method: DFT, PBE-GGA
State: relaxed

Calculated values
* DFT formation energy: -0.4102 eV/atom
* final energy: -2.57 eV per atom
* space-group type: No. 65

Cell lengths 5.1756, 7.3766, 8.0789 Å; angles 90.00, 71.32, 90.00 degrees
Sites, in units of the cell vectors:
Zn (0.0000, 0.0000, 0.0000)
Ho (0.6742, 0.5000, 0.6515)
Ho (0.3439, 0.0000, 0.3122)
Ho (0.0000, 0.5000, 0.0000)
Ho (0.6561, 0.0000, 0.6878)
Ho (0.3258, 0.5000, 0.3485)
Hg (0.8365, 0.7642, 0.3270)
Hg (0.8365, 0.2358, 0.3270)
Hg (0.5000, 0.2627, 0.0000)
Hg (0.5000, 0.7373, 0.0000)
Hg (0.1635, 0.7642, 0.6730)
Hg (0.1635, 0.2358, 0.6730)